Entry 1:
Here is IrAu2Se after structural relaxation from Alexandria via LeMat-Bulk. Energies are from PBE.

Unit cell a=2.9318 b=4.7890 c=4.9853 alpha=90.00 beta=90.00 gamma=90.00
Fractional coordinates of all 4 atoms:
Au (0.0000, 0.0000, 0.0000)
Au (0.5000, 0.5000, 0.0000)
Ir (0.5000, 0.0000, 0.5000)
Se (0.0000, 0.5000, 0.5000)

Properties
Formation energy without anion corrections   0.467 eV/atom
Magnetization   0.0 μB per formula unit
VASP energy   -4.26 eV/atom
N(E_F)   0.7870 states/eV/atom


Entry 2:
Here is IrAu2Se after structural relaxation from Alexandria via LeMat-Bulk. Energies are from PBE.

Unit cell a=5.3920 b=5.3920 c=5.3920 alpha=137.62 beta=137.62 gamma=61.48
Fractional coordinates of all 4 atoms:
Au (0.0000, 0.0000, 0.0000)
Au (0.5000, 0.5000, 0.0000)
Ir (0.2500, 0.7500, 0.5000)
Se (0.7500, 0.2500, 0.5000)

Properties
Formation energy without anion corrections   0.558 eV/atom
Magnetization   0.0 μB per formula unit
VASP energy   -4.17 eV/atom
N(E_F)   0.5519 states/eV/atom